# 1
Computed, not measured: a geometry-optimized ScCdHg structure at the PBE level of DFT.

Output
- ρ: 9.009 g/cm³
- Calculated volume: 66.0 Å³ per cell
- Space group: I4mm (107)
- ΔH_f (0 K): -248 meV/atom
- D(E_F): 2.07 states/eV per cell

Cell: 6.683 6.683 3.242 Å, 75.96 75.97 28.08°
Atoms (fractional coordinates):
Cd 0.999 0.999 0.001
Hg 0.672 0.672 0.328
Sc 0.330 0.330 0.670


# 2
Computed, not measured: a geometry-optimized Sc2CdHg2 structure at the PBE level of DFT.

Output
- ρ: 8.924 g/cm³
- Calculated volume: 224.6 Å³ per cell
- Space group: P4/mbm (127)
- ΔH_f (0 K): -323 meV/atom
- Excess energy over the best structure of this formula in the dataset: 0.0000 eV/atom
- D(E_F): 5.69 states/eV per cell

Cell: 7.801 7.801 3.691 Å, 90.00 90.00 90.00°
Atoms (fractional coordinates):
Sc 0.165 0.665 0.500
Sc 0.665 0.835 0.500
Sc 0.335 0.165 0.500
Sc 0.835 0.335 0.500
Hg 0.866 0.634 0.000
Hg 0.634 0.134 0.000
Hg 0.366 0.866 0.000
Hg 0.134 0.366 0.000
Cd 0.500 0.500 0.000
Cd 0.000 0.000 0.000


# 3
Computed, not measured: a geometry-optimized Sc2Cd2Hg structure at the PBE level of DFT.

Output
- ρ: 7.094 g/cm³
- Calculated volume: 241.2 Å³ per cell
- Space group: P4/mbm (127)
- ΔH_f (0 K): -75 meV/atom
- Excess energy over the best structure of this formula in the dataset: 0.1488 eV/atom
- D(E_F): 14.10 states/eV per cell

Cell: 7.960 7.960 3.808 Å, 90.00 90.00 90.00°
Atoms (fractional coordinates):
Cd 0.645 0.855 0.500
Cd 0.855 0.355 0.500
Cd 0.145 0.645 0.500
Cd 0.355 0.145 0.500
Hg 0.500 0.500 0.000
Hg 0.000 0.000 0.000
Sc 0.152 0.348 0.000
Sc 0.652 0.152 0.000
Sc 0.848 0.652 0.000
Sc 0.348 0.848 0.000


Which value of ρ does entry 3 give?
7.094 g/cm³


The lowest D(E_F) belongs to which entry?
ScCdHg


The lowest ΔH_f (0 K) belongs to which entry?
Sc2CdHg2